Computed, not measured: a relaxed Cs3Si4Au2 crystal at the GGA-PBE level of DFT.

Unit cell a=4.3869 b=9.6623 c=7.7921 alpha=68.88 beta=73.65 gamma=76.88
Atoms (fractional coordinates):
Si 0.2370 0.4453 0.0807
Si 0.7630 0.5547 0.9193
Si 0.0494 0.5687 0.3325
Si 0.9506 0.4313 0.6675
Cs 0.6843 0.2264 0.4050
Cs 0.3157 0.7736 0.5950
Cs 0.0000 0.0000 0.0000
Au 0.5714 0.6661 0.1910
Au 0.4286 0.3339 0.8090

## Properties
The crystal system is monoclinic. The value obtained for the total moment is 0.00 μB/cell. Its formation energy from raw total energies is -0.05 eV per formula unit.


Computed, not measured: a relaxed CsSiAu3 crystal at the GGA-PBE level of DFT.

Unit cell a=4.6079 b=7.2610 c=7.2610 alpha=136.52 beta=90.00 gamma=90.00
Atoms (fractional coordinates):
Au 0.5000 0.4434 0.0677
Au 0.5000 0.9323 0.5566
Au 0.0000 0.1481 0.8519
Si 0.0000 0.6708 0.3292
Cs 0.5000 0.4335 0.5665

## Properties
The crystal system is orthorhombic. The value obtained for the total moment is 0.00 μB/cell. The energy above the most stable polymorph in this dataset comes out at 0.236 eV/atom. Its formation energy from raw total energies is -0.27 eV per formula unit.


Computed, not measured: a relaxed CsSiAu3 crystal at the GGA-PBE level of DFT.

Unit cell a=5.9052 b=5.9052 c=5.9052 alpha=90.00 beta=90.00 gamma=90.00
Atoms (fractional coordinates):
Au 0.5000 0.0000 0.0000
Au 0.0000 0.5000 0.0000
Au 0.0000 0.0000 0.5000
Cs 0.0000 0.0000 0.0000
Si 0.5000 0.5000 0.5000

## Properties
The crystal system is cubic. The value obtained for the total moment is 0.00 μB/cell. The energy above the most stable polymorph in this dataset comes out at 1.967 eV/atom. Its formation energy from raw total energies is 8.38 eV per formula unit.


Computed, not measured: a relaxed CsSiAu3 crystal at the GGA-PBE level of DFT.

Unit cell a=8.7338 b=8.7338 c=5.4559 alpha=90.00 beta=90.00 gamma=136.49
Atoms (fractional coordinates):
Au 0.5031 0.0643 0.2500
Au 0.0000 0.0000 0.0000
Au 0.0000 0.0000 0.5000
Au 0.0643 0.5031 0.7500
Au 0.4969 0.9357 0.7500
Au 0.9357 0.4969 0.2500
Si 0.8723 0.1277 0.7500
Si 0.1277 0.8723 0.2500
Cs 0.5916 0.4084 0.7500
Cs 0.4084 0.5916 0.2500

## Properties
The crystal system is orthorhombic. The value obtained for the total moment is 0.00 μB/cell. The energy above the most stable polymorph in this dataset comes out at 0.181 eV/atom. Its formation energy from raw total energies is -0.55 eV per formula unit.